No. 1
Material: Y2HIrPt
Method: DFT, GGA-PBE
State: optimized geometry

Cell and atoms, written as POSCAR:
```
Y2HIrPt
1.0
4.876 0.000 0.000
0.000 4.876 0.000
0.000 0.000 3.650
Y H Ir Pt
2 1 1 1
direct
0.000 0.500 0.000
0.500 0.000 0.000
0.000 0.000 0.000
0.500 0.500 0.500
0.000 0.000 0.500
```

Computed properties:
calculated total energy	-7.038	eV per atom
symmetry	P4/mmm (123)
spin magnetization	0.0	μB/f.u.
DOS(E_F)	1.7	states/eV per cell
mass density	10.83	g/cm³


No. 2
Material: TiSb2PdI
Method: DFT, GGA-PBE
State: optimized geometry

Cell and atoms, written as POSCAR:
```
TiSb2PdI
1.0
5.269 0.000 0.000
0.000 5.269 0.000
0.000 0.000 5.324
Ti Sb Pd I
1 2 1 1
direct
0.000 0.000 0.000
0.000 0.500 0.000
0.500 0.000 0.000
0.500 0.500 0.500
0.000 0.000 0.500
```

Computed properties:
calculated total energy	-4.146	eV per atom
symmetry	P4/mmm (123)
spin magnetization	0.0	μB/f.u.
DOS(E_F)	3.6	states/eV per cell
mass density	5.90	g/cm³


No. 3
Material: PrNd4Sm4
Method: DFT, GGA-PBE
State: optimized geometry

Cell and atoms, written as POSCAR:
```
PrNd4Sm4
1.0
-5.493 5.493 2.591
5.493 -5.493 2.591
5.493 5.493 -2.591
Pr Nd Sm
1 4 4
direct
0.000 0.000 0.000
0.333 0.333 0.665
0.333 0.667 0.000
0.667 0.333 0.000
0.667 0.667 0.335
0.000 0.335 0.335
0.000 0.665 0.665
0.335 0.000 0.335
0.665 0.000 0.665
```

Computed properties:
calculated total energy	-4.734	eV per atom
symmetry	I4/mmm (139)
spin magnetization	0.0	μB/f.u.
DOS(E_F)	14.4	states/eV per cell
formation energy	14	meV/atom
mass density	7.01	g/cm³


No. 4
Material: BaMgGaAg2
Method: DFT, GGA-PBE
State: optimized geometry

Cell and atoms, written as POSCAR:
```
BaMgGaAg2
1.0
-2.251 2.314 6.121
2.251 -2.314 6.121
2.251 2.314 -6.121
Ba Mg Ga Ag
1 1 1 2
direct
0.000 0.000 0.000
0.248 0.748 0.500
0.616 0.616 0.000
0.389 0.389 0.000
0.739 0.239 0.500
```

Computed properties:
calculated total energy	-2.697	eV per atom
symmetry	Imm2 (44)
spin magnetization	0.0	μB/f.u.
DOS(E_F)	3.0	states/eV per cell
formation energy	-248	meV/atom
mass density	5.82	g/cm³